# 1
Crystalline YTm2Tc at its relaxed geometry. Source: the Alexandria database, functional PBE.

- Total magnetic moment: 0.0 μB per formula unit
- Total energy: -105.2 eV for the cell shown
- Distance to the lowest polymorph of the same formula: 0 meV/atom
- Density of states at the Fermi level: 3.16 states/eV/f.u.
- Symmetry: Pnma, No. 62

The structure in extended XYZ format:
```
16
Lattice="7.502 0.000 0.000 0.000 8.981 0.000 0.000 0.000 6.159" Properties=species:S:1:pos:R:3 pbc="T T T"
Y 0.300 2.245 0.763
Y 3.451 6.735 3.843
Y 4.050 2.245 2.316
Y 7.202 6.735 5.395
Tm 1.312 0.565 4.008
Tm 1.312 3.926 4.008
Tm 2.439 5.055 0.929
Tm 2.439 8.416 0.929
Tm 5.062 0.565 5.230
Tm 5.062 3.926 5.230
Tm 6.190 5.055 2.150
Tm 6.190 8.416 2.150
Tc 0.878 6.735 2.750
Tc 2.873 2.245 5.829
Tc 4.628 6.735 0.329
Tc 6.624 2.245 3.409
```

# 2
Crystalline Y2Tm8Tc at its relaxed geometry. Source: the Alexandria database, functional PBE.

- Total magnetic moment: 0.0 μB per formula unit
- Total energy: -59.0 eV for the cell shown
- Density of states at the Fermi level: 17.21 states/eV/f.u.
- Symmetry: C2/m, No. 12

The structure in extended XYZ format:
```
11
Lattice="9.221 -2.695 0.000 9.221 2.695 0.000 -0.124 0.000 6.362" Properties=species:S:1:pos:R:3 pbc="T T T"
Y 4.343 0.000 2.090
Y 13.974 0.000 4.272
Tm 0.679 0.000 1.519
Tm 2.793 0.000 5.239
Tm 6.398 0.000 5.517
Tm 7.795 0.000 2.351
Tm 10.522 0.000 4.011
Tm 11.920 0.000 0.846
Tm 15.525 0.000 1.123
Tm 17.638 0.000 4.843
Tc 9.221 0.000 0.000
```

# 3
Crystalline YTm4Tc at its relaxed geometry. Source: the Alexandria database, functional PBE.

- Total magnetic moment: 0.0 μB per formula unit
- Total energy: -139.7 eV for the cell shown
- Density of states at the Fermi level: 5.11 states/eV/f.u.
- Symmetry: Pnma, No. 62

The structure in extended XYZ format:
```
24
Lattice="8.710 0.000 0.000 0.000 3.688 0.000 0.000 0.000 20.237" Properties=species:S:1:pos:R:3 pbc="T T T"
Y 1.995 0.922 3.799
Y 2.360 2.766 13.918
Y 6.350 0.922 6.319
Y 6.715 2.766 16.438
Tm 0.086 2.766 11.454
Tm 0.378 2.766 5.977
Tm 1.152 2.766 0.883
Tm 1.269 2.766 17.354
Tm 3.086 0.922 7.236
Tm 3.203 0.922 11.002
Tm 3.977 0.922 16.096
Tm 4.269 0.922 1.335
Tm 4.441 2.766 18.902
Tm 4.733 2.766 4.141
Tm 5.507 2.766 9.235
Tm 5.624 2.766 13.001
Tm 7.440 0.922 2.883
Tm 7.558 0.922 19.353
Tm 8.332 0.922 14.260
Tm 8.624 0.922 8.783
Tc 2.078 2.766 9.178
Tc 2.277 0.922 19.297
Tc 6.433 2.766 0.940
Tc 6.632 0.922 11.058
```

# 4
Crystalline YTm2Tc at its relaxed geometry. Source: the Alexandria database, functional PBE.

- Total magnetic moment: 0.0 μB per formula unit
- Total energy: -25.2 eV for the cell shown
- Distance to the lowest polymorph of the same formula: 275 meV/atom
- Density of states at the Fermi level: 3.72 states/eV/f.u.
- Symmetry: R-3m, No. 166

The structure in extended XYZ format:
```
4
Lattice="2.405 1.389 4.964 -2.405 1.389 4.964 0.000 -2.777 4.964" Properties=species:S:1:pos:R:3 pbc="T T T"
Y 0.000 0.000 0.000
Tm 0.000 0.000 3.369
Tm 0.000 0.000 11.525
Tc 0.000 0.000 7.447
```

# 5
Crystalline Y2Tm3Tc2 at its relaxed geometry. Source: the Alexandria database, functional PBE.

- Total magnetic moment: 0.0 μB per formula unit
- Total energy: -47.7 eV for the cell shown
- Density of states at the Fermi level: 4.89 states/eV/f.u.
- Symmetry: C2/m, No. 12

The structure in extended XYZ format:
```
7
Lattice="5.637 -2.039 0.000 5.637 2.039 0.000 -3.071 0.000 7.699" Properties=species:S:1:pos:R:3 pbc="T T T"
Y 0.873 0.000 2.398
Y 7.328 0.000 5.301
Tm 3.988 0.000 0.554
Tm 4.101 0.000 3.850
Tm 4.214 0.000 7.145
Tc -0.341 0.000 5.481
Tc 8.542 0.000 2.218
```

# 6
Crystalline YTm4Tc2 at its relaxed geometry. Source: the Alexandria database, functional PBE.

- Total magnetic moment: 0.0 μB per formula unit
- Total energy: -91.2 eV for the cell shown
- Density of states at the Fermi level: 4.90 states/eV/f.u.
- Symmetry: P2_1/m, No. 11

The structure in extended XYZ format:
```
14
Lattice="7.727 0.000 0.000 0.000 6.214 0.000 -2.924 0.000 7.296" Properties=species:S:1:pos:R:3 pbc="T T T"
Y -0.277 1.554 1.143
Y 5.080 4.661 6.153
Tm 0.149 3.112 4.251
Tm 0.149 6.209 4.251
Tm 1.788 4.661 1.845
Tm 2.922 1.554 0.182
Tm 1.881 4.661 7.114
Tm 3.015 1.554 5.451
Tm 4.654 0.005 3.045
Tm 4.654 3.102 3.045
Tc -1.941 1.554 5.487
Tc 2.153 1.554 2.789
Tc 2.650 4.661 4.507
Tc 6.744 4.661 1.809
```

# 7
Crystalline Tm2ZnTc3 at its relaxed geometry. Source: the Alexandria database, functional PBE.

- Total magnetic moment: 0.0 μB per formula unit
- Total energy: -43.0 eV for the cell shown
- Density of states at the Fermi level: 4.55 states/eV/f.u.
- Symmetry: C2/m, No. 12

The structure in extended XYZ format:
```
6
Lattice="4.556 -2.633 0.000 4.556 2.633 0.000 -3.042 0.000 4.522" Properties=species:S:1:pos:R:3 pbc="T T T"
Tm -0.003 0.000 1.643
Tm 6.072 0.000 2.879
Zn 3.035 0.000 2.261
Tc 2.278 1.316 0.000
Tc 2.278 -1.316 0.000
Tc 4.556 0.000 0.000
```

# 8
Crystalline Tm3ZnTc at its relaxed geometry. Source: the Alexandria database, functional PBE.

- Total magnetic moment: 0.0 μB per formula unit
- Total energy: -51.9 eV for the cell shown
- Density of states at the Fermi level: 4.63 states/eV/f.u.
- Symmetry: Cmcm, No. 63

The structure in extended XYZ format:
```
10
Lattice="2.431 -9.584 0.000 2.431 9.584 0.000 0.000 0.000 4.880" Properties=species:S:1:pos:R:3 pbc="T T T"
Tm 2.431 8.200 3.660
Tm 2.431 4.797 3.660
Tm 2.431 1.424 3.660
Tm 2.431 -1.424 1.220
Tm 2.431 -4.797 1.220
Tm 2.431 -8.200 1.220
Zn 2.431 3.068 1.220
Zn 2.431 -3.068 3.660
Tc 2.431 6.596 1.220
Tc 2.431 -6.596 3.660
```

# 9
Crystalline Tm4ZnTc at its relaxed geometry. Source: the Alexandria database, functional PBE.

- Total magnetic moment: 0.0 μB per formula unit
- Total energy: -30.3 eV for the cell shown
- Distance to the lowest polymorph of the same formula: 0 meV/atom
- Density of states at the Fermi level: 7.31 states/eV/f.u.
- Symmetry: P4/mmm, No. 123

The structure in extended XYZ format:
```
6
Lattice="3.480 0.000 0.000 0.000 3.480 0.000 0.000 0.000 12.056" Properties=species:S:1:pos:R:3 pbc="T T T"
Tm 0.000 0.000 1.578
Tm 0.000 0.000 10.478
Tm 1.740 1.740 4.290
Tm 1.740 1.740 7.767
Zn 0.000 0.000 6.028
Tc 1.740 1.740 0.000
```

# 10
Crystalline Tm2Zn3Tc at its relaxed geometry. Source: the Alexandria database, functional PBE.

- Total magnetic moment: 0.0 μB per formula unit
- Total energy: -25.1 eV for the cell shown
- Density of states at the Fermi level: 3.57 states/eV/f.u.
- Symmetry: C2/m, No. 12

The structure in extended XYZ format:
```
6
Lattice="4.571 -2.644 0.000 4.571 2.644 0.000 -3.043 0.000 4.521" Properties=species:S:1:pos:R:3 pbc="T T T"
Tm 0.002 0.000 1.749
Tm 6.096 0.000 2.772
Zn 2.285 1.322 0.000
Zn 2.285 -1.322 0.000
Zn 4.571 0.000 0.000
Tc 3.049 0.000 2.261
```

# 11
Crystalline Tm6ZnTc2 at its relaxed geometry. Source: the Alexandria database, functional PBE.

- Total magnetic moment: 0.0 μB per formula unit
- Total energy: -100.6 eV for the cell shown
- Density of states at the Fermi level: 8.71 states/eV/f.u.
- Symmetry: Immm, No. 71

The structure in extended XYZ format:
```
18
Lattice="-4.636 4.672 5.118 4.636 -4.672 5.118 4.636 4.672 -5.118" Properties=species:S:1:pos:R:3 pbc="T T T"
Tm 4.636 -2.933 3.414
Tm 2.811 0.000 2.550
Tm 6.461 0.000 2.550
Tm 2.938 2.558 0.000
Tm 6.335 2.558 0.000
Tm 0.000 1.739 1.704
Tm 4.636 2.933 3.414
Tm -1.698 2.114 5.118
Tm 1.698 2.114 5.118
Tm -1.825 4.672 2.568
Tm 1.825 4.672 2.568
Tm 0.000 7.605 1.704
Zn 4.636 0.000 0.000
Zn 0.000 4.672 0.000
Tc 1.692 0.000 0.000
Tc 7.580 0.000 0.000
Tc 0.000 0.000 3.938
Tc 0.000 0.000 6.298
```

# 12
Crystalline TmZn11Tc at its relaxed geometry. Source: the Alexandria database, functional PBE.

- Total magnetic moment: 0.0 μB per formula unit
- Total energy: -30.4 eV for the cell shown
- Density of states at the Fermi level: 5.97 states/eV/f.u.
- Symmetry: C2/m, No. 12

The structure in extended XYZ format:
```
13
Lattice="2.614 -6.526 0.000 2.614 6.526 0.000 -2.378 0.000 6.066" Properties=species:S:1:pos:R:3 pbc="T T T"
Tm 0.000 0.000 0.000
Zn 1.307 3.263 0.000
Zn 0.263 4.281 3.902
Zn 0.157 1.437 4.755
Zn 2.587 4.281 2.164
Zn 0.157 -1.437 4.755
Zn 1.307 -3.263 0.000
Zn 1.425 0.000 3.033
Zn 2.693 1.437 1.311
Zn 0.263 -4.281 3.902
Zn 2.693 -1.437 1.311
Zn 2.587 -4.281 2.164
Tc -1.189 0.000 3.033
```

# 13
Crystalline Tm3Zn2Tc at its relaxed geometry. Source: the Alexandria database, functional PBE.

- Total magnetic moment: 0.0 μB per formula unit
- Total energy: -56.0 eV for the cell shown
- Density of states at the Fermi level: 4.55 states/eV/f.u.
- Symmetry: P2/m, No. 10

The structure in extended XYZ format:
```
12
Lattice="4.919 0.000 0.000 0.000 6.992 0.000 -2.446 0.000 7.340" Properties=species:S:1:pos:R:3 pbc="T T T"
Tm 0.000 1.668 0.000
Tm 0.000 5.324 0.000
Tm 0.008 1.643 4.830
Tm 0.008 5.349 4.830
Tm 2.465 1.643 2.510
Tm 2.465 5.349 2.510
Zn 0.007 3.496 2.431
Zn 2.459 0.000 0.000
Zn 2.459 3.496 0.000
Zn 2.467 3.496 4.908
Tc 0.007 0.000 2.396
Tc 2.467 0.000 4.943
```

# 14
Crystalline Tm8Zn2Tc at its relaxed geometry. Source: the Alexandria database, functional PBE.

- Total magnetic moment: 0.0 μB per formula unit
- Total energy: -50.5 eV for the cell shown
- Distance to the lowest polymorph of the same formula: 0 meV/atom
- Density of states at the Fermi level: 6.20 states/eV/f.u.
- Symmetry: C2/m, No. 12

The structure in extended XYZ format:
```
11
Lattice="8.547 -2.560 0.000 8.547 2.560 0.000 -2.192 0.000 6.350" Properties=species:S:1:pos:R:3 pbc="T T T"
Tm -0.195 0.000 1.853
Tm 1.580 0.000 5.091
Tm 4.607 0.000 3.394
Tm 6.821 0.000 0.403
Tm 8.079 0.000 5.947
Tm 10.294 0.000 2.956
Tm 13.321 0.000 1.259
Tm 15.096 0.000 4.497
Zn 2.665 0.000 1.328
Zn 12.235 0.000 5.022
Tc 7.450 0.000 3.175
```

# 15
Crystalline Tm4ZnTc at its relaxed geometry. Source: the Alexandria database, functional PBE.

- Total magnetic moment: 0.0 μB per formula unit
- Total energy: -29.5 eV for the cell shown
- Distance to the lowest polymorph of the same formula: 148 meV/atom
- Density of states at the Fermi level: 6.04 states/eV/f.u.
- Symmetry: R-3m, No. 166

The structure in extended XYZ format:
```
6
Lattice="2.468 1.425 7.573 -2.468 1.425 7.573 0.000 -2.849 7.573" Properties=species:S:1:pos:R:3 pbc="T T T"
Tm 0.000 0.000 2.748
Tm 0.000 0.000 8.363
Tm 0.000 0.000 14.356
Tm 0.000 0.000 19.972
Zn 0.000 0.000 11.360
Tc 0.000 0.000 0.000
```

# 16
Crystalline TmZn4Tc at its relaxed geometry. Source: the Alexandria database, functional PBE.

- Total magnetic moment: 0.0 μB per formula unit
- Total energy: -21.0 eV for the cell shown
- Density of states at the Fermi level: 6.55 states/eV/f.u.
- Symmetry: F-43m, No. 216

The structure in extended XYZ format:
```
6
Lattice="0.000 3.616 3.616 3.616 0.000 3.616 3.616 3.616 0.000" Properties=species:S:1:pos:R:3 pbc="T T T"
Tm 0.000 0.000 0.000
Zn 2.721 2.721 2.721
Zn 4.511 4.511 2.721
Zn 4.511 2.721 4.511
Zn 2.721 4.511 4.511
Tc 5.424 5.424 5.424
```

# 17
Crystalline Tm2ZnTc at its relaxed geometry. Source: the Alexandria database, functional PBE.

- Total magnetic moment: 0.0 μB per formula unit
- Total energy: -19.5 eV for the cell shown
- Distance to the lowest polymorph of the same formula: 501 meV/atom
- Density of states at the Fermi level: 3.34 states/eV/f.u.
- Symmetry: R-3m, No. 166

The structure in extended XYZ format:
```
4
Lattice="1.688 0.975 10.074 -1.688 0.975 10.074 0.000 -1.949 10.074" Properties=species:S:1:pos:R:3 pbc="T T T"
Tm 0.000 0.000 3.056
Tm 0.000 0.000 27.167
Zn 0.000 0.000 0.000
Tc 0.000 0.000 15.112
```

# 18
Crystalline Tm6Zn3Tc at its relaxed geometry. Source: the Alexandria database, functional PBE.

- Total magnetic moment: 0.0 μB per formula unit
- Total energy: -86.3 eV for the cell shown
- Density of states at the Fermi level: 6.93 states/eV/f.u.
- Symmetry: P2_1/m, No. 11

The structure in extended XYZ format:
```
20
Lattice="8.727 0.000 0.000 0.000 5.047 0.000 -3.609 0.000 10.421" Properties=species:S:1:pos:R:3 pbc="T T T"
Tm -1.255 1.262 4.244
Tm 0.842 3.786 1.780
Tm 2.315 1.262 0.032
Tm 0.055 3.786 8.650
Tm 2.060 1.262 3.559
Tm 1.062 1.262 6.632
Tm 4.055 3.786 3.789
Tm 3.058 3.786 6.862
Tm 5.063 1.262 1.771
Tm 2.803 3.786 10.389
Tm 4.276 1.262 8.641
Tm 6.373 3.786 6.177
Zn -2.970 3.786 9.078
Zn -1.721 1.262 7.484
Zn 0.658 3.786 4.893
Zn 4.460 1.262 5.528
Zn 6.838 3.786 2.937
Zn 8.088 1.262 1.343
Tc 3.628 3.786 1.073
Tc 1.489 1.262 9.348
```

# 19
Crystalline Tm2ZnTc at its relaxed geometry. Source: the Alexandria database, functional PBE.

- Total magnetic moment: 0.0 μB per formula unit
- Total energy: -21.5 eV for the cell shown
- Distance to the lowest polymorph of the same formula: 0 meV/atom
- Density of states at the Fermi level: 3.75 states/eV/f.u.
- Symmetry: P4/mmm, No. 123

The structure in extended XYZ format:
```
4
Lattice="3.459 0.000 0.000 0.000 3.459 0.000 0.000 0.000 6.933" Properties=species:S:1:pos:R:3 pbc="T T T"
Tm 0.000 0.000 1.602
Tm 0.000 0.000 5.330
Zn 1.730 1.730 3.466
Tc 1.730 1.730 0.000
```

# 20
Crystalline Tm2ZnTc at its relaxed geometry. Source: the Alexandria database, functional PBE.

- Total magnetic moment: 0.0 μB per formula unit
- Total energy: -21.4 eV for the cell shown
- Distance to the lowest polymorph of the same formula: 34 meV/atom
- Density of states at the Fermi level: 2.90 states/eV/f.u.
- Symmetry: Fm-3m, No. 225

The structure in extended XYZ format:
```
4
Lattice="0.000 3.437 3.437 3.437 0.000 3.437 3.437 3.437 0.000" Properties=species:S:1:pos:R:3 pbc="T T T"
Tm 1.719 1.719 1.719
Tm 5.156 5.156 5.156
Zn 0.000 0.000 0.000
Tc 3.437 3.437 3.437
```